## TmScPt (GGA-PBE)

Data for TmScPt after structural relaxation.

Cell lengths 7.082, 8.436, 8.436 Å; angles 66.00, 65.18, 65.18 degrees
Fractional coordinates of all 18 atoms:
Sc  0.009  0.500  0.500
Sc  0.754  0.372  0.372
Sc  0.497  0.628  0.628
Sc  0.754  0.872  0.872
Sc  0.497  0.128  0.128
Sc  0.009  0.000  0.000
Pt  0.753  0.750  0.250
Pt  0.753  0.250  0.750
Pt  0.087  0.167  0.167
Pt  0.420  0.333  0.333
Pt  0.087  0.667  0.667
Pt  0.420  0.833  0.833
Tm  0.164  0.044  0.544
Tm  0.342  0.750  0.250
Tm  0.164  0.544  0.044
Tm  0.342  0.250  0.750
Tm  0.753  0.956  0.456
Tm  0.753  0.456  0.956

Properties
Excess energy over the best structure of this formula in the dataset: 0.0 meV/atom
ΔH_f (0 K): -0.993 eV per atom

## MgSi (GGA-PBE)

Data for MgSi after structural relaxation.

Cell lengths 2.994, 2.994, 3.915 Å; angles 90.00, 90.00, 90.00 degrees
Fractional coordinates of all 2 atoms:
Mg  0.000  0.000  0.500
Si  0.500  0.500  0.000

Properties
Raw formation energy: 100 meV/atom

## HfCdPd (GGA-PBE)

Data for HfCdPd after structural relaxation.

Cell lengths 3.411, 3.411, 11.332 Å; angles 98.66, 98.66, 90.00 degrees
Fractional coordinates of all 6 atoms:
Hf  0.155  0.155  0.311
Hf  0.845  0.845  0.689
Pd  0.713  0.713  0.425
Pd  0.287  0.287  0.575
Cd  0.434  0.434  0.867
Cd  0.566  0.566  0.133

Properties
ΔH_f (0 K): -0.290 eV per atom

## Zr2ScSn (GGA-PBE)

Data for Zr2ScSn after structural relaxation.

Cell lengths 3.280, 3.280, 10.291 Å; angles 80.83, 80.83, 60.00 degrees
Fractional coordinates of all 4 atoms:
Sc  0.500  0.500  0.500
Zr  0.083  0.083  0.751
Zr  0.251  0.251  0.248
Sn  0.667  0.667  0.000

Properties
ΔH_f (0 K): -0.145 eV per atom

## Nb2VSe (GGA-PBE)

Data for Nb2VSe after structural relaxation.

Cell lengths 3.010, 3.010, 9.293 Å; angles 80.68, 80.68, 60.00 degrees
Fractional coordinates of all 4 atoms:
V  0.000  0.000  0.000
Nb  0.908  0.908  0.276
Nb  0.092  0.092  0.724
Se  0.500  0.500  0.500

Properties
Raw formation energy: 379 meV/atom

## Cd2Ag2IrO6 (GGA-PBE)

Data for Cd2Ag2IrO6 after structural relaxation.

Cell lengths 5.646, 5.646, 6.410 Å; angles 105.21, 105.21, 116.23 degrees
Fractional coordinates of all 11 atoms:
Ag  0.194  0.806  0.000
Ag  0.806  0.194  0.000
O  0.892  0.600  0.318
O  0.861  0.861  0.724
O  0.400  0.108  0.682
O  0.600  0.892  0.318
O  0.139  0.139  0.276
O  0.108  0.400  0.682
Ir  0.000  0.000  0.500
Cd  0.656  0.344  0.500
Cd  0.344  0.656  0.500

Properties
Raw formation energy: -515 meV/atom

## Li2PmSmTl4 (GGA-PBE)

Data for Li2PmSmTl4 after structural relaxation.

Cell lengths 5.261, 5.261, 9.079 Å; angles 73.16, 73.16, 60.00 degrees
Fractional coordinates of all 8 atoms:
Li  0.750  0.750  0.751
Li  0.250  0.250  0.249
Tl  0.125  0.125  0.625
Tl  0.626  0.626  0.123
Tl  0.374  0.374  0.877
Tl  0.875  0.875  0.375
Sm  0.000  0.000  0.000
Pm  0.500  0.500  0.500

Properties
ΔH_f (0 K): -0.336 eV per atom

## Y2ErTe4 (GGA-PBE)

Data for Y2ErTe4 after structural relaxation.

Cell lengths 4.334, 7.575, 8.418 Å; angles 117.10, 104.92, 90.00 degrees
Fractional coordinates of all 7 atoms:
Te  0.372  0.710  0.745
Te  0.628  0.290  0.255
Te  0.118  0.788  0.237
Te  0.882  0.212  0.763
Y  0.257  0.242  0.513
Y  0.743  0.758  0.487
Er  0.000  0.000  0.000

Properties
Raw formation energy: -1389 meV/atom
Excess energy over the best structure of this formula in the dataset: 0.0 meV/atom

## Dy2TeH (GGA-PBE)

Data for Dy2TeH after structural relaxation.

Cell lengths 3.857, 3.857, 7.313 Å; angles 74.71, 74.71, 60.00 degrees
Fractional coordinates of all 4 atoms:
H  0.000  0.000  0.000
Dy  0.731  0.731  0.807
Dy  0.269  0.269  0.193
Te  0.500  0.500  0.500

Properties
Excess energy over the best structure of this formula in the dataset: 111.1 meV/atom

## MnFeSCl2 (GGA-PBE)

Data for MnFeSCl2 after structural relaxation.

Cell lengths 4.699, 4.699, 4.887 Å; angles 90.00, 90.00, 90.00 degrees
Fractional coordinates of all 5 atoms:
S  0.000  0.000  0.500
Cl  0.000  0.500  0.000
Cl  0.500  0.000  0.000
Fe  0.500  0.500  0.500
Mn  0.000  0.000  0.000

Properties
Raw formation energy: 99 meV/atom
Excess energy over the best structure of this formula in the dataset: 86.2 meV/atom

## RbIn3Si (GGA-PBE)

Data for RbIn3Si after structural relaxation.

Cell lengths 6.123, 6.123, 6.123 Å; angles 90.00, 90.00, 90.00 degrees
Fractional coordinates of all 5 atoms:
In  0.000  0.000  0.500
In  0.500  0.000  0.000
In  0.000  0.500  0.000
Rb  0.000  0.000  0.000
Si  0.500  0.500  0.500

Properties
Raw formation energy: 1397 meV/atom
Excess energy over the best structure of this formula in the dataset: 1154.3 meV/atom

## Al4Ir2Rh (GGA-PBE)

Data for Al4Ir2Rh after structural relaxation.

Cell lengths 4.240, 4.240, 7.217 Å; angles 72.92, 72.92, 60.00 degrees
Fractional coordinates of all 7 atoms:
Al  0.616  0.616  0.151
Al  0.871  0.871  0.388
Al  0.384  0.384  0.849
Al  0.129  0.129  0.612
Ir  0.253  0.253  0.242
Ir  0.747  0.747  0.758
Rh  0.000  0.000  0.000

Properties
ΔH_f (0 K): -0.897 eV per atom

## Ce3Te2Se2 (GGA-PBE)

Data for Ce3Te2Se2 after structural relaxation.

Cell lengths 4.291, 7.666, 7.413 Å; angles 98.42, 106.82, 90.00 degrees
Fractional coordinates of all 7 atoms:
Te  0.879  0.622  0.758
Te  0.121  0.378  0.242
Ce  0.757  0.243  0.514
Ce  0.000  0.000  0.000
Ce  0.243  0.757  0.486
Se  0.373  0.106  0.746
Se  0.627  0.894  0.254

Properties
Raw formation energy: -1568 meV/atom

## ZnHgBr2 (GGA-PBE)

Data for ZnHgBr2 after structural relaxation.

Cell lengths 6.445, 7.880, 7.881 Å; angles 63.81, 66.13, 66.57 degrees
Fractional coordinates of all 8 atoms:
Br  0.992  0.783  0.729
Br  0.008  0.217  0.271
Br  0.654  0.834  0.352
Br  0.346  0.166  0.648
Hg  0.653  0.346  0.860
Hg  0.347  0.654  0.140
Zn  0.249  0.000  0.500
Zn  0.751  0.000  0.500

Properties
Raw formation energy: -623 meV/atom
Excess energy over the best structure of this formula in the dataset: 3.9 meV/atom

## Ce2TiSe6 (GGA-PBE)

Data for Ce2TiSe6 after structural relaxation.

Cell lengths 6.532, 6.532, 12.319 Å; angles 90.00, 90.00, 90.00 degrees
Fractional coordinates of all 18 atoms:
Ce  0.500  0.500  0.828
Ce  0.000  0.000  0.672
Ce  0.000  0.000  0.328
Ce  0.500  0.500  0.172
Se  0.709  0.709  0.000
Se  0.691  0.691  0.646
Se  0.191  0.809  0.146
Se  0.309  0.309  0.646
Se  0.291  0.291  0.000
Se  0.191  0.809  0.854
Se  0.809  0.191  0.146
Se  0.791  0.209  0.500
Se  0.209  0.791  0.500
Se  0.809  0.191  0.854
Se  0.309  0.309  0.354
Se  0.691  0.691  0.354
Ti  0.000  0.000  0.000
Ti  0.500  0.500  0.500

Properties
Raw formation energy: -1269 meV/atom

## ReNiS2 (GGA-PBE)

Data for ReNiS2 after structural relaxation.

Cell lengths 7.699, 7.699, 7.699 Å; angles 23.15, 23.15, 23.15 degrees
Fractional coordinates of all 4 atoms:
S  0.906  0.906  0.906
S  0.094  0.094  0.094
Re  0.500  0.500  0.500
Ni  0.000  0.000  0.000

Properties
Raw formation energy: -19 meV/atom
Excess energy over the best structure of this formula in the dataset: 62.3 meV/atom

## K4Pm3YTe8 (GGA-PBE)

Data for K4Pm3YTe8 after structural relaxation.

Cell lengths 9.136, 9.795, 9.137 Å; angles 117.82, 120.00, 90.00 degrees
Fractional coordinates of all 16 atoms:
Te  0.235  0.712  0.977
Te  0.258  0.288  0.023
Te  0.742  0.712  0.977
Te  0.765  0.288  0.023
Te  0.738  0.714  0.476
Te  0.235  0.712  0.470
Te  0.765  0.288  0.530
Te  0.262  0.286  0.524
Pm  0.500  0.500  0.000
Pm  0.500  0.500  0.500
Pm  0.000  0.500  0.500
K  0.000  0.000  0.500
K  0.000  0.000  0.000
K  0.500  0.000  0.500
K  0.500  0.000  0.000
Y  0.000  0.500  0.000

Properties
Raw formation energy: -1415 meV/atom

## Pr4TmPb2 (GGA-PBE)

Data for Pr4TmPb2 after structural relaxation.

Cell lengths 5.590, 5.590, 9.932 Å; angles 73.66, 73.66, 60.00 degrees
Fractional coordinates of all 7 atoms:
Pr  0.223  0.223  0.331
Pr  0.373  0.373  0.882
Pr  0.777  0.777  0.669
Pr  0.627  0.627  0.118
Pb  0.892  0.892  0.324
Pb  0.108  0.108  0.676
Tm  0.000  0.000  0.000

Properties
ΔH_f (0 K): -0.162 eV per atom

## Pr2Nd8Hg (GGA-PBE)

Data for Pr2Nd8Hg after structural relaxation.

Cell lengths 5.690, 7.942, 9.401 Å; angles 109.75, 107.61, 90.00 degrees
Fractional coordinates of all 11 atoms:
Nd  0.015  0.770  0.030
Nd  0.665  0.931  0.330
Nd  0.182  0.232  0.364
Nd  0.601  0.429  0.203
Nd  0.985  0.230  0.970
Nd  0.335  0.069  0.670
Nd  0.399  0.571  0.797
Nd  0.818  0.768  0.636
Pr  0.814  0.340  0.629
Pr  0.186  0.660  0.371
Hg  0.500  0.000  0.000

Properties
Excess energy over the best structure of this formula in the dataset: 55.6 meV/atom
ΔH_f (0 K): 0.013 eV per atom

## MgIn2CI (GGA-PBE)

Data for MgIn2CI after structural relaxation.

Cell lengths 4.864, 5.245, 4.864 Å; angles 90.00, 90.00, 90.00 degrees
Fractional coordinates of all 5 atoms:
C  0.000  0.000  0.000
I  0.000  0.500  0.000
In  0.500  0.000  0.000
In  0.000  0.000  0.500
Mg  0.500  0.500  0.500

Properties
Raw formation energy: 818 meV/atom